[1]
Computed, not measured: crystalline Dy4Y2Ho2Er at its relaxed geometry at the GGA-PBE level of DFT.

Results
Space group: No. 12
N(E_F), states/eV per atom: 1.36
DFT formation energy, meV/atom: 3
Crystal system: monoclinic
Magnetic moment, Bohr magnetons per cell: 0.0

abc: 9.455 9.455 9.488
angles: 115.28 115.28 21.78
Atoms (fractional coordinates):
Dy 0.018 0.018 0.332
Dy 0.315 0.315 0.666
Dy 0.685 0.685 0.334
Dy 0.982 0.982 0.668
Y 0.352 0.352 0.334
Y 0.648 0.648 0.666
Ho 0.166 0.166 0.001
Ho 0.834 0.834 0.999
Er 0.500 0.500 0.000



[2]
Computed, not measured: crystalline DyYHoEr3 at its relaxed geometry at the GGA-PBE level of DFT.

Results
Space group: No. 12
N(E_F), states/eV per atom: 1.59
DFT formation energy, meV/atom: 223
Crystal system: monoclinic
Magnetic moment, Bohr magnetons per cell: 0.0

abc: 9.788 9.788 7.158
angles: 90.44 90.44 33.67
Atoms (fractional coordinates):
Dy 0.045 0.045 0.254
Dy 0.955 0.955 0.746
Y 0.352 0.352 0.964
Y 0.648 0.648 0.036
Ho 0.352 0.352 0.541
Ho 0.648 0.648 0.459
Er 0.167 0.167 0.745
Er 0.218 0.218 0.250
Er 0.477 0.477 0.256
Er 0.523 0.523 0.744
Er 0.782 0.782 0.750
Er 0.833 0.833 0.255



[3]
Computed, not measured: crystalline Dy2Y6HoEr3 at its relaxed geometry at the GGA-PBE level of DFT.

Results
Space group: No. 12
N(E_F), states/eV per atom: 1.46
DFT formation energy, meV/atom: 24
Crystal system: monoclinic
Magnetic moment, Bohr magnetons per cell: 0.0

abc: 6.138 6.138 11.756
angles: 94.98 94.98 119.93
Atoms (fractional coordinates):
Dy 0.167 0.833 0.000
Dy 0.833 0.167 0.000
Y 0.083 0.416 0.749
Y 0.251 0.251 0.251
Y 0.416 0.083 0.749
Y 0.584 0.917 0.251
Y 0.749 0.749 0.749
Y 0.917 0.584 0.251
Ho 0.500 0.500 0.000
Er 0.000 0.000 0.500
Er 0.333 0.667 0.500
Er 0.667 0.333 0.500



[4]
Computed, not measured: crystalline Dy2Y2HoEr4 at its relaxed geometry at the GGA-PBE level of DFT.

Results
Space group: No. 12
N(E_F), states/eV per atom: 1.34
DFT formation energy, meV/atom: -1
Crystal system: monoclinic
Magnetic moment, Bohr magnetons per cell: 0.0

abc: 9.422 9.422 9.462
angles: 115.27 115.27 21.79
Atoms (fractional coordinates):
Dy 0.166 0.166 0.002
Dy 0.834 0.834 0.998
Y 0.353 0.353 0.335
Y 0.647 0.647 0.665
Ho 0.500 0.500 0.000
Er 0.019 0.019 0.333
Er 0.315 0.315 0.665
Er 0.685 0.685 0.335
Er 0.981 0.981 0.667



[5]
Computed, not measured: crystalline DyY2Ho5Er at its relaxed geometry at the GGA-PBE level of DFT.

Results
Space group: No. 36
N(E_F), states/eV per atom: 1.63
DFT formation energy, meV/atom: 153
Crystal system: orthorhombic
Magnetic moment, Bohr magnetons per cell: 0.0

abc: 10.243 10.243 10.558
angles: 90.00 90.00 148.40
Atoms (fractional coordinates):
Dy 0.201 0.799 0.500
Dy 0.799 0.201 0.000
Y 0.109 0.891 0.227
Y 0.114 0.886 0.809
Y 0.886 0.114 0.309
Y 0.891 0.109 0.727
Ho 0.019 0.981 0.515
Ho 0.283 0.717 0.796
Ho 0.300 0.700 0.197
Ho 0.392 0.608 0.512
Ho 0.479 0.521 0.228
Ho 0.521 0.479 0.728
Ho 0.608 0.392 0.012
Ho 0.700 0.300 0.697
Ho 0.717 0.283 0.296
Ho 0.981 0.019 0.015
Er 0.413 0.587 0.948
Er 0.587 0.413 0.448



[6]
Computed, not measured: crystalline Dy4Y2HoEr2 at its relaxed geometry at the GGA-PBE level of DFT.

Results
Space group: No. 12
N(E_F), states/eV per atom: 1.37
DFT formation energy, meV/atom: 4
Crystal system: monoclinic
Magnetic moment, Bohr magnetons per cell: 0.0

abc: 9.452 9.452 9.482
angles: 115.29 115.29 21.78
Atoms (fractional coordinates):
Dy 0.018 0.018 0.332
Dy 0.315 0.315 0.666
Dy 0.685 0.685 0.334
Dy 0.982 0.982 0.668
Y 0.352 0.352 0.333
Y 0.648 0.648 0.667
Ho 0.500 0.500 0.000
Er 0.167 0.167 0.001
Er 0.833 0.833 0.999



[7]
Computed, not measured: crystalline Dy2YHoEr2 at its relaxed geometry at the GGA-PBE level of DFT.

Results
Space group: No. 58
N(E_F), states/eV per atom: 1.64
DFT formation energy, meV/atom: 164
Crystal system: orthorhombic
Magnetic moment, Bohr magnetons per cell: 0.0

abc: 6.929 16.042 3.471
angles: 90.00 90.00 90.00
Atoms (fractional coordinates):
Dy 0.250 0.158 0.000
Dy 0.250 0.658 0.500
Dy 0.750 0.342 0.500
Dy 0.750 0.842 0.000
Y 0.000 0.000 0.500
Y 0.500 0.500 0.000
Ho 0.000 0.500 0.000
Ho 0.500 0.000 0.500
Er 0.249 0.345 0.500
Er 0.251 0.845 0.000
Er 0.749 0.155 0.000
Er 0.751 0.655 0.500



[8]
Computed, not measured: crystalline Dy5YHoEr2 at its relaxed geometry at the GGA-PBE level of DFT.

Results
Space group: No. 36
N(E_F), states/eV per atom: 1.67
DFT formation energy, meV/atom: 162
Crystal system: orthorhombic
Magnetic moment, Bohr magnetons per cell: 0.0

abc: 10.302 10.302 10.507
angles: 90.00 90.00 148.61
Atoms (fractional coordinates):
Dy 0.017 0.983 0.500
Dy 0.280 0.720 0.786
Dy 0.300 0.700 0.185
Dy 0.389 0.611 0.500
Dy 0.479 0.521 0.216
Dy 0.521 0.479 0.716
Dy 0.611 0.389 0.000
Dy 0.700 0.300 0.685
Dy 0.720 0.280 0.286
Dy 0.983 0.017 0.000
Y 0.412 0.588 0.932
Y 0.588 0.412 0.432
Ho 0.199 0.801 0.488
Ho 0.801 0.199 0.988
Er 0.110 0.890 0.214
Er 0.113 0.887 0.793
Er 0.887 0.113 0.293
Er 0.890 0.110 0.714



[9]
Computed, not measured: crystalline Dy2Y6Ho3Er at its relaxed geometry at the GGA-PBE level of DFT.

Results
Space group: No. 12
N(E_F), states/eV per atom: 1.45
DFT formation energy, meV/atom: 23
Crystal system: monoclinic
Magnetic moment, Bohr magnetons per cell: 0.0

abc: 6.144 6.144 11.768
angles: 94.98 94.98 119.94
Atoms (fractional coordinates):
Dy 0.167 0.833 0.000
Dy 0.833 0.167 0.000
Y 0.083 0.416 0.750
Y 0.250 0.250 0.250
Y 0.416 0.083 0.750
Y 0.584 0.917 0.250
Y 0.750 0.750 0.750
Y 0.917 0.584 0.250
Ho 0.000 0.000 0.500
Ho 0.333 0.667 0.500
Ho 0.667 0.333 0.500
Er 0.500 0.500 0.000



[10]
Computed, not measured: crystalline Dy2YHo6Er3 at its relaxed geometry at the GGA-PBE level of DFT.

Results
Space group: No. 12
N(E_F), states/eV per atom: 1.38
DFT formation energy, meV/atom: 21
Crystal system: monoclinic
Magnetic moment, Bohr magnetons per cell: 0.0

abc: 6.104 6.104 11.688
angles: 94.97 94.97 119.92
Atoms (fractional coordinates):
Dy 0.167 0.833 0.000
Dy 0.833 0.167 0.000
Y 0.500 0.500 0.000
Ho 0.082 0.416 0.749
Ho 0.250 0.250 0.251
Ho 0.416 0.082 0.749
Ho 0.584 0.918 0.251
Ho 0.750 0.750 0.749
Ho 0.918 0.584 0.251
Er 0.000 0.000 0.500
Er 0.333 0.667 0.500
Er 0.667 0.333 0.500



[11]
Computed, not measured: crystalline DyYHo2Er at its relaxed geometry at the GGA-PBE level of DFT.

Results
Space group: No. 63
N(E_F), states/eV per atom: 1.49
DFT formation energy, meV/atom: 411
Crystal system: orthorhombic
Magnetic moment, Bohr magnetons per cell: 0.0

abc: 7.044 7.044 7.182
angles: 90.00 90.00 107.72
Atoms (fractional coordinates):
Dy 0.013 0.987 0.750
Dy 0.987 0.013 0.250
Y 0.269 0.731 0.250
Y 0.731 0.269 0.750
Ho 0.309 0.309 0.000
Ho 0.309 0.309 0.500
Ho 0.691 0.691 0.000
Ho 0.691 0.691 0.500
Er 0.285 0.715 0.750
Er 0.715 0.285 0.250



[12]
Computed, not measured: crystalline Dy6YHoEr2 at its relaxed geometry at the GGA-PBE level of DFT.

Results
Space group: No. 15
N(E_F), states/eV per atom: 1.40
DFT formation energy, meV/atom: 118
Crystal system: monoclinic
Magnetic moment, Bohr magnetons per cell: 0.0

abc: 8.751 8.751 9.504
angles: 93.78 93.78 118.13
Atoms (fractional coordinates):
Dy 0.019 0.569 0.185
Dy 0.125 0.752 0.556
Dy 0.248 0.875 0.944
Dy 0.290 0.503 0.380
Dy 0.431 0.981 0.315
Dy 0.497 0.710 0.120
Dy 0.503 0.290 0.880
Dy 0.569 0.019 0.685
Dy 0.710 0.497 0.620
Dy 0.752 0.125 0.056
Dy 0.875 0.248 0.444
Dy 0.981 0.431 0.815
Y 0.023 0.977 0.250
Y 0.977 0.023 0.750
Ho 0.409 0.591 0.750
Ho 0.591 0.409 0.250
Er 0.197 0.305 0.044
Er 0.305 0.197 0.544
Er 0.695 0.803 0.456
Er 0.803 0.695 0.956